# GGA-PBE CoNiSn2, optimized geometry
# Volume ... 18.13 Å³/atom
# Formation energy ... 0.384 eV per atom
data_CoNiSn2
_cell_length_a 6.959
_cell_length_b 6.959
_cell_length_c 5.761
_cell_angle_alpha 52.84
_cell_angle_beta 52.84
_cell_angle_gamma 90.00
_space_group_name_H-M_alt 'P 1'
_space_group_IT_number 1
loop_
_space_group_symop_operation_xyz
'x,y,z'
loop_
_atom_site_label
_atom_site_type_symbol
_atom_site_fract_x
_atom_site_fract_y
_atom_site_fract_z
Ni1 Ni 0.000 0.000 0.000
Ni2 Ni 0.750 0.250 0.500
Sn1 Sn 0.127 0.625 0.250
Sn2 Sn 0.875 0.873 0.750
Sn3 Sn 0.375 0.377 0.750
Sn4 Sn 0.623 0.125 0.250
Co1 Co 0.250 0.750 0.500
Co2 Co 0.500 0.500 0.000